VASP calculation (PBE) on Cs2KMoCl6 after structural relaxation.

Results
* total magnetic moment: 6.0 μB per cell
* crystal system: trigonal
* formation energy without anion corrections: -1.571 eV/atom
* energy above the lowest structure with this stoichiometry: 7 meV per atom

a = 15.043 Å, b = 15.043 Å, c = 15.043 Å
α = 29.08°, β = 29.08°, γ = 29.08°
Fractional coordinates of all 20 atoms:
Cs (0.137, 0.137, 0.137)
Cs (0.303, 0.303, 0.303)
Cs (0.697, 0.697, 0.697)
Cs (0.863, 0.863, 0.863)
K (0.413, 0.413, 0.413)
K (0.587, 0.587, 0.587)
Mo (0.000, 0.000, 0.000)
Mo (0.500, 0.500, 0.500)
Cl (0.158, 0.621, 0.621)
Cl (0.187, 0.187, 0.726)
Cl (0.187, 0.726, 0.187)
Cl (0.274, 0.813, 0.813)
Cl (0.379, 0.379, 0.842)
Cl (0.379, 0.842, 0.379)
Cl (0.621, 0.158, 0.621)
Cl (0.621, 0.621, 0.158)
Cl (0.726, 0.187, 0.187)
Cl (0.813, 0.274, 0.813)
Cl (0.813, 0.813, 0.274)
Cl (0.842, 0.379, 0.379)

VASP calculation (PBE) on Cs2KMoCl6 after structural relaxation.

Results
* total magnetic moment: 3.0 μB per cell
* crystal system: cubic
* formation energy without anion corrections: -1.578 eV/atom
* energy above the lowest structure with this stoichiometry: 0 meV per atom

a = 7.767 Å, b = 7.767 Å, c = 7.767 Å
α = 60.00°, β = 60.00°, γ = 60.00°
Fractional coordinates of all 10 atoms:
Cs (0.250, 0.250, 0.250)
Cs (0.750, 0.750, 0.750)
K (0.000, 0.000, 0.000)
Mo (0.500, 0.500, 0.500)
Cl (0.276, 0.276, 0.724)
Cl (0.276, 0.724, 0.276)
Cl (0.276, 0.724, 0.724)
Cl (0.724, 0.276, 0.276)
Cl (0.724, 0.276, 0.724)
Cl (0.724, 0.724, 0.276)

VASP calculation (PBE) on CsK2MoCl8 after structural relaxation.

Results
* total magnetic moment: 1.5 μB per cell
* crystal system: triclinic
* formation energy without anion corrections: -1.339 eV/atom

a = 6.089 Å, b = 7.147 Å, c = 9.994 Å
α = 89.96°, β = 89.96°, γ = 71.79°
Fractional coordinates of all 12 atoms:
Cs (0.000, 0.000, 0.000)
K (0.499, 0.499, 0.241)
K (0.501, 0.501, 0.759)
Mo (0.000, 0.000, 0.500)
Cl (0.073, 0.206, 0.332)
Cl (0.074, 0.206, 0.667)
Cl (0.393, 0.805, 0.500)
Cl (0.411, 0.276, 0.000)
Cl (0.589, 0.724, 0.000)
Cl (0.607, 0.195, 0.500)
Cl (0.926, 0.794, 0.333)
Cl (0.927, 0.794, 0.668)

VASP calculation (PBE) on CsK2MoCl6 after structural relaxation.

Results
* total magnetic moment: 6.0 μB per cell
* crystal system: trigonal
* formation energy without anion corrections: -1.522 eV/atom

a = 17.274 Å, b = 17.274 Å, c = 17.274 Å
α = 24.24°, β = 24.24°, γ = 24.24°
Fractional coordinates of all 20 atoms:
Cs (0.085, 0.085, 0.085)
Cs (0.915, 0.915, 0.915)
K (0.183, 0.183, 0.183)
K (0.350, 0.350, 0.350)
K (0.650, 0.650, 0.650)
K (0.817, 0.817, 0.817)
Mo (0.000, 0.000, 0.000)
Mo (0.500, 0.500, 0.500)
Cl (0.131, 0.131, 0.652)
Cl (0.131, 0.652, 0.131)
Cl (0.211, 0.688, 0.688)
Cl (0.312, 0.312, 0.789)
Cl (0.312, 0.789, 0.312)
Cl (0.348, 0.869, 0.869)
Cl (0.652, 0.131, 0.131)
Cl (0.688, 0.211, 0.688)
Cl (0.688, 0.688, 0.211)
Cl (0.789, 0.312, 0.312)
Cl (0.869, 0.348, 0.869)
Cl (0.869, 0.869, 0.348)

VASP calculation (PBE) on CsKMo2Cl after structural relaxation.

Results
* total magnetic moment: 11.0 μB per cell
* crystal system: tetragonal
* formation energy without anion corrections: 1.568 eV/atom

a = 6.651 Å, b = 6.651 Å, c = 5.886 Å
α = 90.00°, β = 90.00°, γ = 90.00°
Fractional coordinates of all 5 atoms:
Cs (0.000, 0.000, 0.000)
K (0.500, 0.500, 0.500)
Mo (0.000, 0.500, 0.500)
Mo (0.500, 0.000, 0.500)
Cl (0.500, 0.500, 0.000)

VASP calculation (PBE) on Cs4K3NaCl8 after structural relaxation.

Results
* total magnetic moment: 0.0 μB per cell
* crystal system: monoclinic
* formation energy without anion corrections: -1.918 eV/atom

a = 9.370 Å, b = 9.370 Å, c = 9.438 Å
α = 119.79°, β = 119.79°, γ = 59.97°
Fractional coordinates of all 16 atoms:
Cs (0.000, 0.000, 0.000)
Cs (0.000, 0.500, 0.000)
Cs (0.500, 0.000, 0.000)
Cs (0.500, 0.500, 0.000)
K (0.000, 0.000, 0.500)
K (0.000, 0.500, 0.500)
K (0.500, 0.000, 0.500)
Na (0.500, 0.500, 0.500)
Cl (0.241, 0.241, 0.722)
Cl (0.249, 0.733, 0.716)
Cl (0.266, 0.266, 0.283)
Cl (0.267, 0.751, 0.284)
Cl (0.733, 0.249, 0.716)
Cl (0.734, 0.734, 0.717)
Cl (0.751, 0.267, 0.284)
Cl (0.759, 0.759, 0.278)

VASP calculation (PBE) on CsK2NaCl after structural relaxation.

Results
* total magnetic moment: 0.0 μB per cell
* crystal system: tetragonal
* formation energy without anion corrections: -0.721 eV/atom
* energy above the lowest structure with this stoichiometry: 0 meV per atom

a = 6.341 Å, b = 6.341 Å, c = 6.985 Å
α = 90.00°, β = 90.00°, γ = 90.00°
Fractional coordinates of all 5 atoms:
Cs (0.000, 0.000, 0.000)
K (0.000, 0.500, 0.500)
K (0.500, 0.000, 0.500)
Na (0.500, 0.500, 0.000)
Cl (0.000, 0.000, 0.500)

VASP calculation (PBE) on CsK2NaCl after structural relaxation.

Results
* total magnetic moment: 0.5 μB per cell
* crystal system: tetragonal
* formation energy without anion corrections: -0.605 eV/atom
* energy above the lowest structure with this stoichiometry: 116 meV per atom

a = 6.231 Å, b = 6.231 Å, c = 7.784 Å
α = 90.00°, β = 90.00°, γ = 90.00°
Fractional coordinates of all 5 atoms:
Cs (0.000, 0.000, 0.000)
K (0.000, 0.500, 0.500)
K (0.500, 0.000, 0.500)
Na (0.500, 0.500, 0.000)
Cl (0.500, 0.500, 0.500)

VASP calculation (PBE) on CsK2NbCl8 after structural relaxation.

Results
* total magnetic moment: 0.0 μB per cell
* crystal system: triclinic
* formation energy without anion corrections: -1.561 eV/atom

a = 5.973 Å, b = 7.616 Å, c = 10.068 Å
α = 90.17°, β = 90.32°, γ = 106.41°
Fractional coordinates of all 12 atoms:
Cs (0.000, 0.000, 0.000)
K (0.496, 0.498, 0.777)
K (0.504, 0.502, 0.223)
Nb (0.000, 0.000, 0.500)
Cl (0.127, 0.829, 0.332)
Cl (0.133, 0.834, 0.668)
Cl (0.371, 0.229, 0.499)
Cl (0.409, 0.729, 0.000)
Cl (0.591, 0.271, 0.000)
Cl (0.629, 0.771, 0.501)
Cl (0.867, 0.166, 0.332)
Cl (0.873, 0.171, 0.668)

VASP calculation (PBE) on CsKNiCl6 after structural relaxation.

Results
* total magnetic moment: 0.0 μB per cell
* crystal system: trigonal
* formation energy without anion corrections: -1.066 eV/atom

a = 7.385 Å, b = 7.385 Å, c = 6.838 Å
α = 90.00°, β = 90.00°, γ = 120.00°
Fractional coordinates of all 9 atoms:
Cs (0.000, 0.000, 0.000)
K (0.333, 0.667, 0.500)
Ni (0.667, 0.333, 0.500)
Cl (0.419, 0.085, 0.692)
Cl (0.419, 0.334, 0.308)
Cl (0.666, 0.085, 0.308)
Cl (0.666, 0.581, 0.692)
Cl (0.915, 0.334, 0.692)
Cl (0.915, 0.581, 0.308)

VASP calculation (PBE) on CsKNpCl6 after structural relaxation.

Results
* total magnetic moment: 6.0 μB per cell
* crystal system: trigonal
* formation energy without anion corrections: -1.844 eV/atom

a = 8.182 Å, b = 8.182 Å, c = 11.799 Å
α = 90.00°, β = 90.00°, γ = 120.00°
Fractional coordinates of all 18 atoms:
Cs (0.333, 0.667, 0.250)
Cs (0.667, 0.333, 0.750)
K (0.000, 0.000, 0.000)
K (0.000, 0.000, 0.500)
Np (0.333, 0.667, 0.750)
Np (0.667, 0.333, 0.250)
Cl (0.080, 0.395, 0.623)
Cl (0.080, 0.684, 0.877)
Cl (0.316, 0.395, 0.877)
Cl (0.316, 0.920, 0.623)
Cl (0.395, 0.080, 0.123)
Cl (0.395, 0.316, 0.377)
Cl (0.605, 0.684, 0.623)
Cl (0.605, 0.920, 0.877)
Cl (0.684, 0.080, 0.377)
Cl (0.684, 0.605, 0.123)
Cl (0.920, 0.316, 0.123)
Cl (0.920, 0.605, 0.377)

VASP calculation (PBE) on CsK2NpCl6 after structural relaxation.

Results
* total magnetic moment: 8.0 μB per cell
* crystal system: monoclinic
* formation energy without anion corrections: -1.893 eV/atom

a = 7.787 Å, b = 8.233 Å, c = 13.652 Å
α = 90.00°, β = 123.17°, γ = 90.00°
Fractional coordinates of all 20 atoms:
Cs (0.000, 0.000, 0.000)
Cs (0.000, 0.500, 0.500)
K (0.286, 0.079, 0.757)
K (0.286, 0.421, 0.257)
K (0.714, 0.579, 0.743)
K (0.714, 0.921, 0.243)
Np (0.500, 0.000, 0.500)
Np (0.500, 0.500, 0.000)
Cl (0.137, 0.070, 0.290)
Cl (0.137, 0.430, 0.790)
Cl (0.309, 0.671, 0.085)
Cl (0.309, 0.829, 0.585)
Cl (0.437, 0.217, 0.083)
Cl (0.437, 0.283, 0.583)
Cl (0.563, 0.717, 0.417)
Cl (0.563, 0.783, 0.917)
Cl (0.691, 0.171, 0.415)
Cl (0.691, 0.329, 0.915)
Cl (0.863, 0.570, 0.210)
Cl (0.863, 0.930, 0.710)